A relaxed PrTm2 crystal. Source: Alexandria, functional PBE-GGA.

Structure (POSCAR):
```
PrTm2
1.0
3.571 0.000 0.000
0.000 6.778 -2.223
-1.786 -2.720 8.805
Pr Tm
2 4
direct
0.166 0.247 0.331 Pr
0.834 0.753 0.669 Pr
0.500 0.257 0.000 Tm
0.835 0.250 0.670 Tm
0.165 0.750 0.330 Tm
0.500 0.743 0.000 Tm
```

**DOS(E_F)**: 1.385 states/eV/atom
**Calculated formation energy**: 0.03 eV/atom
**E above lowest polymorph**: 0.029 eV per atom
**Calculated volume**: 191.5 Å³ per cell
**Spin magnetization**: 0.00 μB/f.u.

***

A relaxed Pr3Tm7 crystal. Source: Alexandria, functional PBE-GGA.

Structure (POSCAR):
```
Pr3Tm7
1.0
-1.737 4.546 -1.263
-1.877 -2.493 -6.392
-6.667 -3.812 5.450
Tm Pr
7 3
direct
0.401 0.700 0.802 Tm
0.599 0.300 0.198 Tm
0.400 0.198 0.800 Tm
0.000 0.500 0.000 Tm
0.600 0.802 0.200 Tm
0.200 0.100 0.399 Tm
0.800 0.900 0.601 Tm
0.198 0.601 0.396 Pr
0.000 0.000 0.000 Pr
0.802 0.399 0.604 Pr
```

**DOS(E_F)**: 1.442 states/eV/atom
**Calculated formation energy**: 0.03 eV/atom
**E above lowest polymorph**: 0.000 eV per atom
**Calculated volume**: 318.1 Å³ per cell
**Spin magnetization**: 0.00 μB/f.u.

***

A relaxed PrTm7 crystal. Source: Alexandria, functional PBE-GGA.

Structure (POSCAR):
```
PrTm7
1.0
7.021 0.000 0.000
3.511 6.080 0.000
3.511 2.027 5.733
Tm Pr
7 1
direct
0.500 0.500 0.000 Tm
0.000 0.500 0.000 Tm
0.500 0.000 0.500 Tm
0.500 0.500 0.500 Tm
0.500 0.000 0.000 Tm
0.000 0.000 0.500 Tm
0.000 0.500 0.500 Tm
0.000 0.000 0.000 Pr
```

**DOS(E_F)**: 1.480 states/eV/atom
**Calculated formation energy**: 0.03 eV/atom
**Calculated volume**: 244.7 Å³ per cell
**Spin magnetization**: 0.00 μB/f.u.

***

A relaxed Pr5Tm4 crystal. Source: Alexandria, functional PBE-GGA.

Structure (POSCAR):
```
Pr5Tm4
1.0
5.078 0.003 0.003
2.538 7.671 -0.505
2.538 0.510 7.670
Pr Tm
5 4
direct
0.670 0.996 0.663 Pr
0.000 0.667 0.333 Pr
0.330 0.337 0.004 Pr
0.000 0.996 0.004 Pr
0.000 0.337 0.663 Pr
0.667 0.333 0.333 Tm
0.667 0.667 0.000 Tm
0.333 0.000 0.333 Tm
0.333 0.667 0.667 Tm
```

**DOS(E_F)**: 1.375 states/eV/atom
**Calculated formation energy**: 0.02 eV/atom
**Calculated volume**: 299.9 Å³ per cell
**Spin magnetization**: 0.00 μB/f.u.